5
Lattice="-2.093 2.093 7.582 2.093 -2.093 7.582 2.093 2.093 -7.582" Properties=species:S:1:pos:R:3 comment="BaCd2Se2 | Alexandria | GGA-PBEsol | optimized geometry" total_energy_ev_per_atom=-3.197 space_group=I4/mmm pbc="T T T"
Ba 0.000 0.000 0.000
Cd 2.093 0.000 3.791
Cd 0.000 2.093 3.791
Se 0.000 0.000 6.069
Se 0.000 0.000 9.094